No. 1
Below is a relaxed structure of Ac2Pu, with properties calculated at the PBE level.

Results
**Uncorrected energy**: -5.436 eV per atom
**Space group**: Fd-3m, No. 227

a = 9.3007 Å, b = 9.3007 Å, c = 9.3007 Å
α = 60.00°, β = 60.00°, γ = 60.00°
Site moments in Bohr magnetons follow the coordinates.
Atoms (fractional coordinates):
Ac: 0.3750 0.8750 0.3750  0.31
Ac: 0.3750 0.3750 0.8750  0.30
Ac: 0.8750 0.3750 0.3750  0.41
Ac: 0.3750 0.3750 0.3750  0.31
Pu: 0.5000 0.5000 0.5000  5.89
Pu: 0.2500 0.2500 0.2500  5.89

***

No. 2
Below is a relaxed structure of AcPu2, with properties calculated at the PBE level.

Results
**Uncorrected energy**: -8.415 eV per atom
**Space group**: Fd-3m, No. 227

a = 10.6465 Å, b = 10.6465 Å, c = 10.6465 Å
α = 60.00°, β = 60.00°, γ = 60.00°
Site moments in Bohr magnetons follow the coordinates.
Atoms (fractional coordinates):
Ac: 0.2500 0.2500 0.2500  0.89
Ac: 0.5000 0.5000 0.5000  0.89
Pu: 0.3750 0.3750 0.8750  6.10
Pu: 0.3750 0.3750 0.3750  6.26
Pu: 0.3750 0.8750 0.3750  6.31
Pu: 0.8750 0.3750 0.3750  6.71

***

No. 3
Below is a relaxed structure of AcPuSb, with properties calculated at the PBE level.

Results
**Uncorrected energy**: -7.500 eV per atom
**Space group**: F-43m, No. 216

a = 5.2311 Å, b = 5.2311 Å, c = 5.2311 Å
α = 60.00°, β = 60.00°, γ = 60.00°
Site moments in Bohr magnetons follow the coordinates.
Atoms (fractional coordinates):
Sb: 0.7500 0.7500 0.7500  -0.04
Pu: 0.0000 0.0000 0.0000  6.08
Ac: 0.2500 0.2500 0.2500  0.54

***

No. 4
Below is a relaxed structure of Ac5PuSe8, with properties calculated at the PBE level.

Results
**Uncorrected energy**: -6.406 eV per atom
**Space group**: I-4, No. 82

a = 8.0657 Å, b = 8.0657 Å, c = 8.0657 Å
α = 109.40°, β = 109.40°, γ = 109.61°
Site moments in Bohr magnetons follow the coordinates.
Atoms (fractional coordinates):
Ac: 0.2500 0.7500 0.5000  0.05
Ac: 0.8790 0.0020 0.6244  0.06
Ac: 0.9980 0.6224 0.8770  0.06
Ac: 0.7454 0.1210 0.1230  0.06
Ac: 0.3776 0.2546 0.3756  0.06
Se: 0.7748 0.5271 0.3938  -0.02
Se: 0.6190 0.2252 0.7523  -0.02
Se: 0.9711 0.8753 0.2492  -0.01
Se: 0.1248 0.3740 0.0958  -0.01
Se: 0.2782 0.0290 0.9042  -0.01
Se: 0.1333 0.3810 0.6062  -0.02
Se: 0.4729 0.8667 0.2477  -0.02
Se: 0.6260 0.7218 0.7508  -0.01
Pu: 0.5000 0.5000 0.0000  5.68

***

No. 5
Below is a relaxed structure of AcPuSn6, with properties calculated at the PBE level.

Results
**Uncorrected energy**: -5.456 eV per atom
**Space group**: P4/mmm, No. 123

a = 4.7821 Å, b = 4.7821 Å, c = 9.5326 Å
α = 90.00°, β = 90.00°, γ = 90.00°
Atoms (fractional coordinates):
Sn: 0.0000 0.5000 0.2661
Sn: 0.5000 0.5000 0.0000
Sn: 0.5000 0.0000 0.2661
Sn: 0.0000 0.5000 0.7339
Sn: 0.5000 0.5000 0.5000
Sn: 0.5000 0.0000 0.7339
Ac: 0.0000 0.0000 0.0000
Pu: 0.0000 0.0000 0.5000

***

No. 6
Below is a relaxed structure of SrAcPu, with properties calculated at the PBE level.

Results
**Uncorrected energy**: -5.697 eV per atom
**Space group**: F-43m, No. 216

a = 5.8931 Å, b = 5.8931 Å, c = 5.8931 Å
α = 60.00°, β = 60.00°, γ = 60.00°
Atoms (fractional coordinates):
Ac: 0.0000 0.0000 0.0000
Sr: 0.7500 0.7500 0.7500
Pu: 0.2500 0.2500 0.2500